## BaZn (GGA-PBEsol)

Data for an optimized crystal structure of BaZn.

Properties
formation energy from the elements: -9 kJ per mole of atoms

a = 6.431 Å, b = 6.431 Å, c = 6.431 Å
α = 144.06°, β = 128.19°, γ = 64.67°
Fractional positions:
Ba1 0.344 0.094 0.250
Ba2 0.656 0.906 0.750
Zn1 0.071 0.321 0.750
Zn2 0.929 0.679 0.250

## MnAg3 (GGA-PBEsol)

Data for an optimized crystal structure of MnAg3.

Properties
formation energy from the elements: 23 kJ per mole of atoms

a = 9.278 Å, b = 9.278 Å, c = 9.278 Å
α = 17.62°, β = 17.62°, γ = 17.62°
Fractional positions:
Mn1 0.000 0.000 0.000
Ag1 0.253 0.253 0.253
Ag2 0.500 0.500 0.500
Ag3 0.747 0.747 0.747

## CaH4Se2O7 (GGA-PBEsol)

Data for an optimized crystal structure of CaH4Se2O7.

Properties
total DFT energy (no corrections): -0.20514 hartree per atom

a = 6.643 Å, b = 6.883 Å, c = 7.370 Å
α = 71.54°, β = 86.76°, γ = 88.03°
Fractional positions:
Ca1 0.127 0.271 0.422
Ca2 0.873 0.729 0.578
H1 0.016 0.035 0.161
H2 0.272 0.714 0.013
H3 0.304 0.947 0.869
H4 0.440 0.757 0.800
H5 0.560 0.243 0.200
H6 0.696 0.053 0.131
H7 0.728 0.286 0.987
H8 0.984 0.965 0.839
Se1 0.138 0.322 0.897
Se2 0.355 0.743 0.474
Se3 0.645 0.257 0.526
Se4 0.862 0.678 0.103
O1 0.104 0.585 0.140
O2 0.113 0.155 0.141
O3 0.147 0.134 0.787
O4 0.188 0.914 0.521
O5 0.202 0.533 0.555
O6 0.379 0.811 0.926
O7 0.480 0.295 0.341
O8 0.520 0.705 0.659
O9 0.621 0.189 0.074
O10 0.798 0.467 0.445
O11 0.812 0.086 0.479
O12 0.853 0.866 0.213
O13 0.887 0.845 0.859
O14 0.896 0.415 0.860

## TaCoW2 (GGA-PBEsol)

Data for an optimized crystal structure of TaCoW2.

Properties
energy above the most stable polymorph in this dataset: 0 meV/atom
formation energy from the elements: 5 kJ per mole of atoms

a = 3.144 Å, b = 3.144 Å, c = 6.013 Å
α = 90.00°, β = 90.00°, γ = 90.00°
Fractional positions:
Ta1 0.000 0.000 0.000
Co1 0.500 0.500 0.763
W1 0.000 0.000 0.519
W2 0.500 0.500 0.271

## Fe23O25 (GGA-PBEsol)

Data for an optimized crystal structure of Fe23O25.

Properties
total DFT energy (no corrections): -0.29213 hartree per atom

a = 6.667 Å, b = 6.669 Å, c = 11.563 Å
α = 73.27°, β = 86.62°, γ = 72.54°
Fractional positions:
Fe1 0.000 0.000 0.000
Fe2 0.006 0.614 0.204
Fe3 0.008 0.190 0.392
Fe4 0.179 0.120 0.647
Fe5 0.188 0.731 0.835
Fe6 0.196 0.533 0.433
Fe7 0.206 0.306 0.045
Fe8 0.393 0.226 0.279
Fe9 0.396 0.848 0.473
Fe10 0.397 0.651 0.085
Fe11 0.412 0.431 0.684
Fe12 0.418 0.040 0.876
Fe13 0.582 0.960 0.124
Fe14 0.588 0.569 0.316
Fe15 0.603 0.349 0.915
Fe16 0.604 0.152 0.527
Fe17 0.607 0.774 0.721
Fe18 0.794 0.694 0.955
Fe19 0.804 0.467 0.567
Fe20 0.812 0.269 0.165
Fe21 0.821 0.880 0.353
Fe22 0.992 0.810 0.608
Fe23 0.994 0.386 0.796
O1 0.096 0.277 0.217
O2 0.099 0.856 0.429
O3 0.102 0.655 0.020
O4 0.105 0.466 0.618
O5 0.112 0.055 0.826
O6 0.294 0.383 0.861
O7 0.299 0.185 0.463
O8 0.299 0.982 0.052
O9 0.305 0.778 0.658
O10 0.306 0.565 0.261
O11 0.483 0.105 0.695
O12 0.496 0.693 0.901
O13 0.500 0.500 0.500
O14 0.504 0.307 0.099
O15 0.517 0.895 0.305
O16 0.694 0.435 0.739
O17 0.695 0.222 0.342
O18 0.701 0.018 0.948
O19 0.701 0.815 0.537
O20 0.706 0.617 0.139
O21 0.888 0.945 0.174
O22 0.895 0.534 0.382
O23 0.898 0.345 0.980
O24 0.901 0.144 0.571
O25 0.904 0.723 0.783

## InHgPt (GGA-PBEsol)

Data for an optimized crystal structure of InHgPt.

Properties
formation energy from the elements: -2 kJ per mole of atoms

a = 4.649 Å, b = 4.649 Å, c = 3.060 Å
α = 90.00°, β = 90.00°, γ = 120.00°
Fractional positions:
In1 0.000 0.000 0.000
Hg1 0.333 0.667 0.460
Pt1 0.667 0.333 0.812

## InPt2Pb2 (GGA-PBEsol)

Data for an optimized crystal structure of InPt2Pb2.

Properties
formation energy from the elements: 10 kJ per mole of atoms

a = 6.597 Å, b = 6.597 Å, c = 6.597 Å
α = 139.31°, β = 139.31°, γ = 58.90°
Fractional positions:
In1 0.000 0.000 0.000
Pt1 0.389 0.389 0.000
Pt2 0.611 0.611 0.000
Pb1 0.250 0.750 0.500
Pb2 0.750 0.250 0.500

## Ta2TlSnTe (GGA-PBEsol)

Data for an optimized crystal structure of Ta2TlSnTe.

Properties
total DFT energy (no corrections): -0.19546 hartree per atom

a = 5.151 Å, b = 5.151 Å, c = 5.513 Å
α = 90.00°, β = 90.00°, γ = 90.00°
Fractional positions:
Ta1 0.000 0.500 0.000
Ta2 0.500 0.000 0.000
Tl1 0.000 0.000 0.500
Sn1 0.500 0.500 0.000
Te1 0.500 0.500 0.500

## SrIr3Os (GGA-PBEsol)

Data for an optimized crystal structure of SrIr3Os.

Properties
formation energy from the elements: 348 kJ per mole of atoms

a = 4.715 Å, b = 4.715 Å, c = 4.715 Å
α = 90.00°, β = 90.00°, γ = 90.00°
Fractional positions:
Sr1 0.000 0.000 0.000
Ir1 0.000 0.000 0.500
Ir2 0.000 0.500 0.000
Ir3 0.500 0.000 0.000
Os1 0.500 0.500 0.500

## BH2Au (GGA-PBEsol)

Data for an optimized crystal structure of BH2Au.

Properties
total DFT energy (no corrections): -0.13050 hartree per atom

a = 4.598 Å, b = 4.598 Å, c = 4.598 Å
α = 118.71°, β = 118.71°, γ = 92.26°
Fractional positions:
B1 0.375 0.625 0.750
B2 0.625 0.375 0.250
H1 0.000 0.500 0.500
H2 0.500 0.000 0.000
H3 0.500 0.500 0.000
H4 0.500 0.500 0.500
Au1 0.125 0.875 0.250
Au2 0.875 0.125 0.750

## Sr2YAg (GGA-PBEsol)

Data for an optimized crystal structure of Sr2YAg.

Properties
energy above the most stable polymorph in this dataset: 286 meV/atom
formation energy from the elements: 21 kJ per mole of atoms

a = 6.477 Å, b = 6.477 Å, c = 6.477 Å
α = 136.13°, β = 136.13°, γ = 63.79°
Fractional positions:
Sr1 0.250 0.750 0.500
Sr2 0.750 0.250 0.500
Y1 0.000 0.000 0.000
Ag1 0.500 0.500 0.000

## CaLa2Hg (GGA-PBEsol)

Data for an optimized crystal structure of CaLa2Hg.

Properties
formation energy from the elements: -21 kJ per mole of atoms

a = 4.026 Å, b = 4.026 Å, c = 7.890 Å
α = 90.00°, β = 90.00°, γ = 90.00°
Fractional positions:
Ca1 0.000 0.000 0.000
La1 0.500 0.500 0.288
La2 0.500 0.500 0.712
Hg1 0.000 0.000 0.500

Number 1: DOS at the Fermi energy 0.87 states/eV per atom, volume 30.29 Å³ per atom. Number 2: DOS at the Fermi energy 0.56 states/eV per atom, volume 15.97 Å³ per atom. Number 3: DOS at the Fermi energy 0.00 states/eV per atom, volume 11.40 Å³ per atom. Number 4: DOS at the Fermi energy 1.01 states/eV per atom, volume 14.86 Å³ per atom. Number 5: DOS at the Fermi energy 0.65 states/eV per atom, volume 9.78 Å³ per atom. Number 6: DOS at the Fermi energy 0.43 states/eV per atom, volume 19.09 Å³ per atom. Number 7: DOS at the Fermi energy 0.45 states/eV per atom, volume 24.17 Å³ per atom. Number 8: DOS at the Fermi energy 1.19 states/eV per atom, volume 29.25 Å³ per atom. Number 9: DOS at the Fermi energy 1.75 states/eV per atom, volume 20.97 Å³ per atom. Number 10: DOS at the Fermi energy 0.20 states/eV per atom, volume 8.75 Å³ per atom. Number 11: DOS at the Fermi energy 1.16 states/eV per atom, volume 32.20 Å³ per atom. Number 12: DOS at the Fermi energy 0.89 states/eV per atom, volume 31.97 Å³ per atom.